Record 1
Material: DySiPO
Method: DFT, PBE
State: optimized geometry

Geometry as extended XYZ:
```
8
Lattice="4.242 0.000 0.000 0.000 4.242 0.000 0.000 0.000 7.134" Properties=species:S:1:pos:R:3 pbc="T T T"
Dy 1.061 1.061 0.906
Dy 3.182 3.182 6.228
Si 1.061 3.182 3.567
Si 3.182 1.061 3.567
P 1.061 1.061 4.604
P 3.182 3.182 2.531
O 1.061 3.182 0.000
O 3.182 1.061 0.000
```

## Properties
Space group = P4/nmm
Calculated density = 6.14 Mg/m³
ΔE to the lowest computed polymorph = 0.22 eV per formula unit
Magnetic moment = 0.00 μB per cell

***

Record 2
Material: DySiPO
Method: DFT, PBE
State: optimized geometry

Geometry as extended XYZ:
```
8
Lattice="3.825 0.000 0.000 0.000 5.778 0.000 0.000 0.000 5.872" Properties=species:S:1:pos:R:3 pbc="T T T"
Dy 0.000 1.339 0.000
Dy 0.000 4.440 2.936
Si 1.913 2.093 2.383
Si 1.913 3.685 5.319
P 1.913 0.468 4.015
P 1.913 5.310 1.079
O 0.000 2.283 2.112
O 0.000 3.495 5.048
```

## Properties
Space group = Pmc2_1
Calculated density = 6.08 Mg/m³
ΔE to the lowest computed polymorph = 0.56 eV per formula unit
Magnetic moment = 0.00 μB per cell

***

- Look up the ΔE to the lowest computed polymorph of the second one.
  0.56 eV per formula unit

***

- The highest calculated density belongs to which entry?
  number 1